[1]
Crystalline AcNpBiAu at its relaxed geometry, computed with GGA-PBE.

Output
- formation energy (meV/atom) = -242
- calculated total energy (eV/atom) = -6.29
- SG = F-43m

Unit cell a=5.5451 b=5.5451 c=5.5451 alpha=60.00 beta=60.00 gamma=60.00
With the nearest neighbours (Å) after each atom.
Fractional positions:
Ac (0.0000, 0.0000, 0.0000)  4 Au 3.40, 4 Bi 3.40
Np (0.5000, 0.5000, 0.5000)  4 Bi 3.40, 4 Au 3.40
Bi (0.2500, 0.2500, 0.2500)  4 Ac 3.40, 4 Np 3.40
Au (0.7500, 0.7500, 0.7500)  4 Ac 3.40, 4 Np 3.40



[2]
Crystalline Ac4Bi3Au2O2 at its relaxed geometry, computed with GGA-PBE.

Output
- formation energy from raw total energies (eV/f.u.) = -16.278
- calculated total energy (eV/atom) = -5.53
- SG = P-3m1

Unit cell a=4.6574 b=4.6574 c=17.5565 alpha=90.00 beta=90.00 gamma=120.00
With the nearest neighbours (Å) after each atom.
Fractional positions:
Ac (0.3333, 0.6667, 0.3817)  3 Au 3.24, 3 Bi 3.40
Ac (0.3333, 0.6667, 0.9161)  1 O 2.36
Ac (0.6667, 0.3333, 0.0839)  1 O 2.36
Ac (0.6667, 0.3333, 0.6183)  3 Au 3.24, 3 Bi 3.40
Bi (0.0000, 0.0000, 0.2281)  3 Au 2.83
Bi (0.0000, 0.0000, 0.5000)  6 Ac 3.40
Bi (0.0000, 0.0000, 0.7719)  3 Au 2.83
Au (0.3333, 0.6667, 0.7211)  3 Bi 2.83
Au (0.6667, 0.3333, 0.2789)  3 Bi 2.83
O (0.3333, 0.6667, 0.0504)  1 Ac 2.36
O (0.6667, 0.3333, 0.9496)  1 Ac 2.36